Entry from Alexandria via LeMat-Bulk: a relaxed La2CuNi10 crystal (PBE).

CIF file:
```
data_La2CuNi10
_chemical_formula_sum 'La2 Cu1 Ni10'
_symmetry_space_group_name_H-M 'P 1'
_symmetry_Int_Tables_number 1
_symmetry_space_group_name_Hall 'P 1'
_cell_length_a 6.972
_cell_length_b 6.424
_cell_length_c 6.203
_cell_angle_alpha 67.01
_cell_angle_beta 58.01
_cell_angle_gamma 54.98
loop_
_atom_site_label
_atom_site_fract_x
_atom_site_fract_y
_atom_site_fract_z
La1 0.202 0.798 0.202
La2 0.798 0.202 0.798
Cu1 0.500 0.500 0.500
Ni1 0.106 0.625 0.894
Ni2 0.150 0.387 0.613
Ni3 0.250 0.250 0.250
Ni4 0.375 0.894 0.625
Ni5 0.387 0.150 0.850
Ni6 0.613 0.850 0.150
Ni7 0.625 0.106 0.375
Ni8 0.750 0.750 0.750
Ni9 0.850 0.613 0.387
Ni10 0.894 0.375 0.106
```

Properties
Magnetic moment: 2.83 μB/cell
ρ: 8.1 g/cm3
Formation energy: -0.1162 eV per atom